La2Pr6Sm3Ho | PBE | relaxed

Structure (POSCAR):
```
La2Pr6Sm3Ho
1.0
3.1943 -5.5331 0.0000
3.1943 5.5331 0.0000
-2.1473 0.0000 12.0134
La Pr Sm Ho
2 6 3 1
direct
0.1669 0.8331 0.0000
0.8331 0.1669 0.0000
0.0843 0.4160 0.7483
0.2520 0.2520 0.2520
0.4160 0.0843 0.7483
0.5840 0.9157 0.2517
0.7480 0.7480 0.7480
0.9157 0.5840 0.2517
0.0000 0.0000 0.5000
0.3337 0.6663 0.5000
0.6663 0.3337 0.5000
0.5000 0.5000 0.0000
```

Properties
ΔH_f (0 K) in eV/atom: 0.016
SG: C2/m, No. 12



La2CuOsRh | PBE | relaxed

Structure (POSCAR):
```
La2CuOsRh
1.0
5.5576 0.0000 0.0000
0.0000 5.5576 0.0000
0.0000 0.0000 4.6650
La Cu Os Rh
2 1 1 1
direct
0.0000 0.5000 0.0000
0.5000 0.0000 0.0000
0.0000 0.0000 0.5000
0.5000 0.5000 0.5000
0.5000 0.5000 0.0000
```

Properties
ΔH_f (0 K) in eV/atom: 0.433
SG: P4/mmm, No. 123



| no. | VASP energy (eV for the cell shown) | density (g cm⁻³) |
| --- | --- | --- |
| 1 | -57.08 | 6.80 |
| 2 | -30.37 | 7.31 |